No. 1
Material: Ac5Te4Pd
Method: DFT, PBE
State: relaxed

uncorrected energy = -5.15 eV/atom
formation energy (no corrections) = -1317 meV per atom

Unit cell a=4.6978 b=4.6991 c=16.8740 alpha=98.00 beta=98.00 gamma=90.00
Last column: nearest neighbours and their distance in Å.
Positions (direct):
Te  0.6032  0.6032  0.2064  6 Ac 3.35-3.42
Te  0.3968  0.3968  0.7936  6 Ac 3.35-3.42
Te  0.1934  0.1934  0.3868  6 Ac 3.34-3.40
Te  0.8066  0.8066  0.6132  6 Ac 3.34-3.40
Ac  0.9093  0.9093  0.8185  1 Pd 3.00, 4 Te 3.35
Ac  0.0907  0.0907  0.1815  1 Pd 3.00, 4 Te 3.35
Ac  0.5000  0.5000  0.0000  4 Pd 3.32, 2 Te 3.42
Ac  0.2956  0.2956  0.5912  6 Te 3.34-3.38
Ac  0.7044  0.7044  0.4088  6 Te 3.34-3.38
Pd  0.0000  0.0000  0.0000  6 Ac 3.00-3.32

No. 2
Material: Ac2ThTe5Pd
Method: DFT, PBE
State: relaxed

uncorrected energy = -5.38 eV/atom
formation energy (no corrections) = -1323 meV per atom

Unit cell a=4.4605 b=9.9335 c=13.7032 alpha=90.00 beta=90.00 gamma=102.97
Last column: nearest neighbours and their distance in Å.
Positions (direct):
Ac  0.1090  0.2180  0.3446  8 Te 3.32-3.68
Ac  0.8910  0.7820  0.8446  8 Te 3.32-3.68
Ac  0.1215  0.2430  0.6980  8 Te 3.32-3.61
Ac  0.8785  0.7570  0.1980  8 Te 3.32-3.61
Te  0.9842  0.9683  0.5248  2 Pd 2.80, 1 Th 3.03
Te  0.4984  0.9967  0.2564  1 Pd 2.76
Te  0.6921  0.3841  0.1830  2 Th 3.22, 2 Ac 3.53
Te  0.3079  0.6159  0.6830  2 Th 3.22, 2 Ac 3.53
Te  0.3398  0.6796  0.0178  1 Th 3.25, 4 Ac 3.40-3.41
Te  0.0158  0.0317  0.0248  2 Pd 2.80, 1 Th 3.03
Te  0.2988  0.5975  0.3526  1 Pd 2.70
Te  0.7012  0.4025  0.8526  1 Pd 2.70
Te  0.6602  0.3204  0.5178  1 Th 3.25, 4 Ac 3.40-3.41
Te  0.5016  0.0033  0.7564  1 Pd 2.76
Th  0.1721  0.3442  0.0159  6 Te 3.03-3.25, 2 Pd 3.16
Th  0.8279  0.6558  0.5159  6 Te 3.03-3.25, 2 Pd 3.16
Pd  0.4268  0.8536  0.4310  4 Te 2.70-2.80
Pd  0.5732  0.1464  0.9310  4 Te 2.70-2.80

No. 3
Material: AcTmTe3Pd
Method: DFT, PBE
State: relaxed

uncorrected energy = -5.16 eV/atom
formation energy (no corrections) = -1289 meV per atom

Unit cell a=4.3658 b=8.2761 c=10.3465 alpha=103.01 beta=90.00 gamma=90.00
Last column: nearest neighbours and their distance in Å.
Positions (direct):
Te  0.2500  0.7275  0.4608  3 Pd 2.85-2.94, 1 Tm 2.93
Te  0.2500  0.0757  0.8626  1 Pd 2.75, 2 Tm 3.02
Te  0.7500  0.4182  0.1409  3 Tm 3.07-3.16, 2 Ac 3.42
Te  0.7500  0.2725  0.5392  3 Pd 2.85-2.94, 1 Tm 2.93
Te  0.7500  0.9243  0.1374  1 Pd 2.75, 2 Tm 3.02
Te  0.2500  0.5818  0.8591  3 Tm 3.07-3.16, 2 Ac 3.42
Ac  0.7500  0.7943  0.7037  6 Te 3.28-3.42, 3 Pd 3.50-3.57
Ac  0.2500  0.2057  0.2963  6 Te 3.28-3.42, 3 Pd 3.50-3.57
Tm  0.7500  0.3144  0.8278  6 Te 2.93-3.16
Tm  0.2500  0.6856  0.1722  6 Te 2.93-3.16
Pd  0.2500  0.0803  0.5979  4 Te 2.75-2.94, 2 Pd 3.07
Pd  0.7500  0.9197  0.4021  4 Te 2.75-2.94, 2 Pd 3.07

No. 4
Material: Ac3Zn2TePd9
Method: DFT, PBE
State: relaxed

uncorrected energy = -4.80 eV/atom
formation energy (no corrections) = -483 meV per atom

Unit cell a=7.5624 b=7.5624 c=6.9212 alpha=90.00 beta=90.00 gamma=120.00
Last column: nearest neighbours and their distance in Å.
Positions (direct):
Pd  0.8260  0.1740  0.6727  1 Zn 2.41, 1 Te 2.57
Pd  0.6519  0.8260  0.3273  1 Zn 2.41, 1 Te 2.57
Pd  0.5000  0.0000  0.0000  2 Zn 2.42
Pd  0.5000  0.5000  0.0000  2 Zn 2.42
Pd  0.1740  0.8260  0.3273  1 Zn 2.41, 1 Te 2.57
Pd  0.1740  0.3481  0.3273  1 Zn 2.41, 1 Te 2.57
Pd  0.8260  0.6519  0.6727  1 Zn 2.41, 1 Te 2.57
Pd  0.3481  0.1740  0.6727  1 Zn 2.41, 1 Te 2.57
Pd  0.0000  0.5000  0.0000  2 Zn 2.42
Ac  0.6667  0.3333  0.3335  6 Pd 3.14-3.18, 1 Zn 3.36
Ac  0.3333  0.6667  0.6665  6 Pd 3.14-3.18, 1 Zn 3.36
Ac  0.0000  0.0000  0.0000  6 Pd 3.21, 2 Te 3.46
Zn  0.6667  0.3333  0.8479  6 Pd 2.41-2.42
Zn  0.3333  0.6667  0.1521  6 Pd 2.41-2.42
Te  0.0000  0.0000  0.5000  6 Pd 2.57

No. 5
Material: AcTh2Pd7
Method: DFT, PBE
State: relaxed

calculated formation energy = -0.393 eV per atom
uncorrected energy = -5.92 eV/atom

Unit cell a=4.6006 b=7.2284 c=8.4469 alpha=115.33 beta=90.00 gamma=90.00
Last column: nearest neighbours and their distance in Å.
Positions (direct):
Ac  0.0000  0.0000  0.0000  10 Pd 2.99-3.11
Pd  0.5000  0.5000  0.0000  4 Pd 2.78, 2 Th 2.96
Pd  0.5000  0.2904  0.2103  1 Th 2.65, 2 Pd 2.68-2.78
Pd  0.0000  0.8039  0.6078  2 Th 2.85, 1 Ac 2.99, 4 Pd 3.00
Pd  0.5000  0.0801  0.7897  1 Th 2.65, 2 Pd 2.68-2.78
Pd  0.5000  0.9199  0.2103  1 Th 2.65, 2 Pd 2.68-2.78
Pd  0.0000  0.1961  0.3922  2 Th 2.85, 1 Ac 2.99, 4 Pd 3.00
Pd  0.5000  0.7096  0.7897  1 Th 2.65, 2 Pd 2.68-2.78
Th  0.5000  0.6939  0.3878  5 Pd 2.65-2.96
Th  0.5000  0.3061  0.6122  5 Pd 2.65-2.96

No. 6
Material: Ac2ThPd
Method: DFT, PBE
State: relaxed

calculated formation energy = 0.182 eV per atom
uncorrected energy = -5.02 eV/atom
E above lowest polymorph = 437 meV per atom

Unit cell a=3.7245 b=3.7245 c=11.8249 alpha=80.94 beta=80.94 gamma=60.00
Last column: nearest neighbours and their distance in Å.
Positions (direct):
Th  0.5000  0.5000  0.5000  6 Ac 3.72, 6 Th 3.72
Ac  0.9203  0.9203  0.2390  1 Pd 2.78
Ac  0.0797  0.0797  0.7610  1 Pd 2.78
Pd  0.0000  0.0000  0.0000  2 Ac 2.78

No. 7
Material: AcThPd4
Method: DFT, PBE
State: relaxed

calculated formation energy = -0.686 eV per atom
uncorrected energy = -6.07 eV/atom

Unit cell a=5.6000 b=5.6000 c=5.6000 alpha=60.00 beta=60.00 gamma=60.00
Last column: nearest neighbours and their distance in Å.
Positions (direct):
Ac  0.2500  0.2500  0.2500  12 Pd 3.28, 4 Th 3.43
Pd  0.6254  0.1237  0.6254  6 Pd 2.79-2.81
Pd  0.1237  0.6254  0.6254  6 Pd 2.79-2.81
Pd  0.6254  0.6254  0.1237  6 Pd 2.79-2.81
Pd  0.6254  0.6254  0.6254  6 Pd 2.79-2.81
Th  0.0000  0.0000  0.0000  12 Pd 3.28, 4 Ac 3.43

No. 8
Material: Ac2ThPd9
Method: DFT, PBE
State: relaxed

calculated formation energy = -0.825 eV per atom
uncorrected energy = -6.02 eV/atom

Unit cell a=4.2752 b=4.2752 c=12.8902 alpha=90.00 beta=90.00 gamma=90.00
Last column: nearest neighbours and their distance in Å.
Positions (direct):
Pd  0.5000  0.0000  0.1576  2 Th 2.95, 8 Pd 2.95-3.07, 2 Ac 3.10
Pd  0.0000  0.5000  0.5000  8 Pd 3.02-3.08, 4 Ac 3.04
Pd  0.0000  0.5000  0.8424  2 Th 2.95, 8 Pd 2.95-3.07, 2 Ac 3.10
Pd  0.5000  0.5000  0.6720  4 Ac 3.02, 8 Pd 3.07-3.08
Pd  0.0000  0.5000  0.1576  2 Th 2.95, 8 Pd 2.95-3.07, 2 Ac 3.10
Pd  0.5000  0.5000  0.3280  4 Ac 3.02, 8 Pd 3.07-3.08
Pd  0.5000  0.5000  0.0000  8 Pd 2.95, 4 Th 3.02
Pd  0.5000  0.0000  0.8424  2 Th 2.95, 8 Pd 2.95-3.07, 2 Ac 3.10
Pd  0.5000  0.0000  0.5000  8 Pd 3.02-3.08, 4 Ac 3.04
Th  0.0000  0.0000  0.0000  12 Pd 2.95-3.02
Ac  0.0000  0.0000  0.6680  12 Pd 3.02-3.10
Ac  0.0000  0.0000  0.3320  12 Pd 3.02-3.10

Q: Look up the uncorrected energy of the first one.
A: -5.15 eV/atom

Q: uncorrected energy of number 8 (Ac2ThPd9)?
A: -6.02 eV/atom

Q: Among the records above, which one has the lowest uncorrected energy?
A: AcThPd4

Q: uncorrected energy of number 7 (AcThPd4)?
A: -6.07 eV/atom